--- A ---
The following is a GGA-PBE calculation of a relaxed structure of PbSI2N, from Alexandria.

a b c (Å): 6.2737 6.2737 4.8511
angles (deg): 90.00 90.00 90.00
Each line ends with the local moment (μB).
Positions (direct):
1 Pb 0.0000 0.0000 0.0000  0.01
2 I 0.0000 0.5000 0.0000  0.23
3 I 0.5000 0.0000 0.0000  0.23
4 S 0.5000 0.5000 0.5000  1.17
5 N 0.0000 0.0000 0.5000  1.31

- volume (Å³ per cell) = 191
- crystal system = tetragonal
- SG = No. 123

---

--- B ---
The following is a GGA-PBE calculation of a relaxed structure of PbSI2N, from Alexandria.

a b c (Å): 6.1849 6.1849 3.5768
angles (deg): 90.00 90.00 90.00
Positions (direct):
1 Pb 0.5000 0.5000 0.5000
2 I 0.0000 0.5000 0.0000
3 I 0.5000 0.0000 0.0000
4 S 0.0000 0.0000 0.0000
5 N 0.0000 0.0000 0.5000

- volume (Å³ per cell) = 137
- crystal system = tetragonal
- SG = No. 123

---

We find B to be the most stable, with the next structure 53.8 kJ/mol of atoms higher.

---

--- A ---
The following is a GGA-PBE calculation of a relaxed structure of SiPbIN2, from Alexandria.

a b c (Å): 4.4616 4.4616 6.6329
angles (deg): 90.00 90.00 90.00
Each line ends with the local moment (μB).
Positions (direct):
1 Pb 0.0000 0.0000 0.0000  -0.06
2 I 0.0000 0.0000 0.5000  0.00
3 Si 0.5000 0.5000 0.5000  -0.25
4 N 0.0000 0.5000 0.0000  0.77
5 N 0.5000 0.0000 0.0000  0.77

- volume (Å³ per cell) = 132
- crystal system = tetragonal
- SG = No. 123

---

--- B ---
The following is a GGA-PBE calculation of a relaxed structure of SiPbIN2, from Alexandria.

a b c (Å): 4.1043 4.1043 5.7279
angles (deg): 90.00 90.00 90.00
Each line ends with the local moment (μB).
Positions (direct):
1 Pb 0.5000 0.5000 0.5000  -0.03
2 I 0.0000 0.0000 0.5000  -0.01
3 Si 0.0000 0.0000 0.0000  -0.03
4 N 0.0000 0.5000 0.0000  0.31
5 N 0.5000 0.0000 0.0000  0.31

- volume (Å³ per cell) = 96
- crystal system = tetragonal
- SG = No. 123

---

We find B to be the most stable, with the next structure 70.1 kJ/mol of atoms higher.

---

--- A ---
The following is a GGA-PBE calculation of a relaxed structure of SnPbI2N, from Alexandria.

a b c (Å): 6.3122 6.3122 3.9263
angles (deg): 90.00 90.00 90.00
Positions (direct):
1 Pb 0.5000 0.5000 0.5000
2 I 0.0000 0.5000 0.0000
3 I 0.5000 0.0000 0.0000
4 Sn 0.0000 0.0000 0.0000
5 N 0.0000 0.0000 0.5000

- volume (Å³ per cell) = 156
- crystal system = tetragonal
- SG = No. 123

---

--- B ---
The following is a GGA-PBE calculation of a relaxed structure of SnPbI2N, from Alexandria.

a b c (Å): 6.3844 6.3844 4.1477
angles (deg): 90.00 90.00 90.00
Each line ends with the local moment (μB).
Positions (direct):
1 Pb 0.0000 0.0000 0.0000  -0.01
2 I 0.0000 0.5000 0.0000  0.01
3 I 0.5000 0.0000 0.0000  0.01
4 Sn 0.5000 0.5000 0.5000  -0.04
5 N 0.0000 0.0000 0.5000  0.17

- volume (Å³ per cell) = 169
- crystal system = tetragonal
- SG = No. 123

---

We find A to be the most stable, with the next structure 29.3 kJ/mol of atoms higher.

---

--- A ---
The following is a GGA-PBE calculation of a relaxed structure of SrPbI2N, from Alexandria.

a b c (Å): 6.4501 6.4501 4.1982
angles (deg): 90.00 90.00 90.00
Positions (direct):
1 Pb 0.0000 0.0000 0.0000
2 I 0.0000 0.5000 0.0000
3 I 0.5000 0.0000 0.0000
4 N 0.0000 0.0000 0.5000
5 Sr 0.5000 0.5000 0.5000

- volume (Å³ per cell) = 175
- crystal system = tetragonal
- SG = No. 123

---

--- B ---
The following is a GGA-PBE calculation of a relaxed structure of SrPbI2N, from Alexandria.

a b c (Å): 6.3462 6.3462 4.7819
angles (deg): 90.00 90.00 90.00
Each line ends with the local moment (μB).
Positions (direct):
1 Pb 0.5000 0.5000 0.5000  -0.18
2 I 0.0000 0.5000 0.0000  0.02
3 I 0.5000 0.0000 0.0000  0.02
4 N 0.0000 0.0000 0.5000  1.15
5 Sr 0.0000 0.0000 0.0000  0.02

- volume (Å³ per cell) = 193
- crystal system = tetragonal
- SG = No. 123

---

We find A to be the most stable, with the next structure 14.3 kJ/mol of atoms higher.

---

--- A ---
The following is a GGA-PBE calculation of a relaxed structure of SrPbIN2, from Alexandria.

a b c (Å): 4.9629 4.9629 6.4791
angles (deg): 90.00 90.00 90.00
Each line ends with the local moment (μB).
Positions (direct):
1 Pb 0.5000 0.5000 0.5000  -0.25
2 I 0.0000 0.0000 0.5000  0.01
3 N 0.0000 0.5000 0.0000  1.21
4 N 0.5000 0.0000 0.0000  1.21
5 Sr 0.0000 0.0000 0.0000  0.04

- volume (Å³ per cell) = 160
- crystal system = tetragonal
- SG = No. 123

---

--- B ---
The following is a GGA-PBE calculation of a relaxed structure of SrPbIN2, from Alexandria.

a b c (Å): 4.5750 4.5750 6.2291
angles (deg): 90.00 90.00 90.00
Each line ends with the local moment (μB).
Positions (direct):
1 Pb 0.0000 0.0000 0.0000  -0.03
2 I 0.0000 0.0000 0.5000  -0.01
3 N 0.0000 0.5000 0.0000  0.52
4 N 0.5000 0.0000 0.0000  0.52
5 Sr 0.5000 0.5000 0.5000  -0.01

- volume (Å³ per cell) = 130
- crystal system = tetragonal
- SG = No. 123

---

We find B to be the most stable, with the next structure 27.6 kJ/mol of atoms higher.

---

--- A ---
The following is a GGA-PBE calculation of a relaxed structure of TaPbIN2, from Alexandria.

a b c (Å): 4.2356 4.2356 5.6602
angles (deg): 90.00 90.00 90.00
Positions (direct):
1 Pb 0.5000 0.5000 0.5000
2 I 0.0000 0.0000 0.5000
3 N 0.0000 0.5000 0.0000
4 N 0.5000 0.0000 0.0000
5 Ta 0.0000 0.0000 0.0000

- volume (Å³ per cell) = 102
- crystal system = tetragonal
- SG = No. 123

---

--- B ---
The following is a GGA-PBE calculation of a relaxed structure of TaPbIN2, from Alexandria.

a b c (Å): 4.4041 4.4041 5.8147
angles (deg): 90.00 90.00 90.00
Each line ends with the local moment (μB).
Positions (direct):
1 Pb 0.0000 0.0000 0.0000  -0.01
2 I 0.0000 0.0000 0.5000  -0.01
3 N 0.0000 0.5000 0.0000  0.37
4 N 0.5000 0.0000 0.0000  0.37
5 Ta 0.5000 0.5000 0.5000  0.60

- volume (Å³ per cell) = 113
- crystal system = tetragonal
- SG = No. 123

---

We find A to be the most stable, with the next structure 186.3 kJ/mol of atoms higher.